Density functional theory data (PBE) for a relaxed structure of ZrCd2Ag.

Properties
- Energy of formation: -0.01 eV per atom
- DOS at the Fermi energy: 3.84 states/eV/f.u.

Unit cell a=4.3252 b=4.3318 c=4.4676 alpha=90.00 beta=90.00 gamma=90.00
Last column: nearest neighbours and their distance in Å.
Element x y z (fractional)
Cd 0.0000 0.0000 0.0000  4 Cd 3.06, 4 Zr 3.11, 4 Ag 3.11
Cd 0.5000 0.5000 0.0000  4 Cd 3.06, 4 Ag 3.11, 4 Zr 3.11
Ag 0.0000 0.5000 0.5000  4 Zr 3.06, 8 Cd 3.11
Zr 0.5000 0.0000 0.5000  4 Ag 3.06, 8 Cd 3.11

Density functional theory data (PBE) for a relaxed structure of ZrCd2Ag.

Properties
- Energy of formation: 0.03 eV per atom
- DOS at the Fermi energy: 2.82 states/eV/f.u.

Unit cell a=5.1780 b=5.1780 c=5.6313 alpha=79.48 beta=79.48 gamma=34.49
Last column: nearest neighbours and their distance in Å.
Element x y z (fractional)
Zr 0.7500 0.7500 0.7500  6 Cd 3.06-3.08, 2 Zr 3.07, 4 Ag 3.21
Cd 0.5057 0.5057 0.4874  3 Ag 2.96-3.08, 3 Zr 3.06-3.08, 4 Cd 3.07-3.10
Cd 0.9943 0.9943 0.0126  3 Ag 2.96-3.08, 3 Zr 3.06-3.08, 4 Cd 3.07-3.10
Ag 0.2500 0.2500 0.2500  6 Cd 2.96-3.08, 2 Ag 3.07, 4 Zr 3.21

Density functional theory data (PBE) for a relaxed structure of Zr3Cd4Ag2.

Properties
- Energy of formation: -0.08 eV per atom
- DOS at the Fermi energy: 4.12 states/eV/f.u.

Unit cell a=5.9556 b=8.4725 c=8.4725 alpha=59.89 beta=90.00 gamma=90.00
Last column: nearest neighbours and their distance in Å.
Element x y z (fractional)
Zr 0.2500 0.1693 0.1693  2 Zr 2.98, 4 Ag 3.16-3.18, 8 Cd 3.16-3.24
Zr 0.7500 0.8307 0.8307  2 Zr 2.98, 4 Ag 3.16-3.18, 8 Cd 3.16-3.24
Zr 0.7500 0.1693 0.1693  2 Zr 2.98, 4 Ag 3.16-3.18, 8 Cd 3.16-3.24
Zr 0.2500 0.8307 0.8307  2 Zr 2.98, 4 Ag 3.16-3.18, 8 Cd 3.16-3.24
Zr 0.2500 0.5000 0.5000  2 Zr 2.98, 8 Cd 3.18-3.19, 4 Ag 3.20-3.21
Zr 0.7500 0.5000 0.5000  2 Zr 2.98, 8 Cd 3.18-3.19, 4 Ag 3.20-3.21
Cd 0.0000 0.8312 0.1654  1 Ag 2.80, 4 Cd 2.83-2.98
Cd 0.5000 0.8346 0.1688  1 Ag 2.80, 4 Cd 2.83-2.98
Cd 0.5001 0.4986 0.1693  3 Ag 2.81-2.98, 2 Cd 2.85-2.86
Cd 0.9999 0.8307 0.5014  3 Ag 2.81-2.98, 2 Cd 2.85-2.86
Cd 0.4999 0.5014 0.8307  3 Ag 2.81-2.98, 2 Cd 2.85-2.86
Cd 0.0001 0.1693 0.4986  3 Ag 2.81-2.98, 2 Cd 2.85-2.86
Cd 0.0000 0.1688 0.8346  1 Ag 2.80, 4 Cd 2.83-2.98
Cd 0.5000 0.1654 0.8312  1 Ag 2.80, 4 Cd 2.83-2.98
Ag 0.0001 0.5004 0.1648  1 Ag 2.80, 4 Cd 2.80-2.98
Ag 0.4999 0.8352 0.4996  1 Ag 2.80, 4 Cd 2.80-2.98
Ag 0.5001 0.1648 0.5004  1 Ag 2.80, 4 Cd 2.80-2.98
Ag 0.9999 0.4996 0.8352  1 Ag 2.80, 4 Cd 2.80-2.98

Density functional theory data (PBE) for a relaxed structure of ZrCd2Ag.

Properties
- Energy of formation: 0.03 eV per atom
- DOS at the Fermi energy: 2.90 states/eV/f.u.

Unit cell a=6.0606 b=6.0606 c=6.0606 alpha=150.96 beta=128.55 gamma=60.17
Last column: nearest neighbours and their distance in Å.
Element x y z (fractional)
Zr 0.2500 0.7500 0.5000  4 Ag 3.04, 2 Zr 3.04, 4 Cd 3.15
Cd 0.5134 0.5134 0.0000  2 Ag 2.91, 6 Cd 3.04-3.05, 2 Zr 3.15
Cd 0.9866 0.9866 0.0000  2 Ag 2.91, 6 Cd 3.04-3.05, 2 Zr 3.15
Ag 0.7500 0.2500 0.5000  4 Cd 2.91, 4 Zr 3.04, 2 Ag 3.04

Density functional theory data (PBE) for a relaxed structure of Zr2Cd3Ag.

Properties
- Energy of formation: -0.10 eV per atom
- DOS at the Fermi energy: 5.52 states/eV/f.u.

Unit cell a=3.1312 b=3.1312 c=12.8143 alpha=90.00 beta=90.00 gamma=90.00
Last column: nearest neighbours and their distance in Å.
Element x y z (fractional)
Cd 0.0000 0.0000 0.0000  8 Zr 3.11, 4 Cd 3.13
Cd 0.0000 0.0000 0.3449  4 Ag 2.98, 4 Cd 3.13, 4 Zr 3.15
Cd 0.0000 0.0000 0.6551  4 Ag 2.98, 4 Cd 3.13, 4 Zr 3.15
Ag 0.5000 0.5000 0.5000  8 Cd 2.98, 4 Ag 3.13
Zr 0.5000 0.5000 0.8295  8 Cd 3.11-3.15, 4 Zr 3.13
Zr 0.5000 0.5000 0.1705  8 Cd 3.11-3.15, 4 Zr 3.13

Density functional theory data (PBE) for a relaxed structure of ZrCdAg3.

Properties
- Energy of formation: -0.02 eV per atom
- DOS at the Fermi energy: 2.84 states/eV/f.u.

Unit cell a=3.0038 b=8.1216 c=8.3847 alpha=105.33 beta=90.00 gamma=100.66
Last column: nearest neighbours and their distance in Å.
Element x y z (fractional)
Cd 0.4988 0.9975 0.2637  6 Ag 2.95-3.12, 2 Cd 3.00, 4 Zr 3.10-3.14
Cd 0.5012 0.0025 0.7363  6 Ag 2.95-3.12, 2 Cd 3.00, 4 Zr 3.10-3.14
Zr 0.1046 0.2091 0.0521  5 Ag 2.96-3.03, 3 Zr 3.00-3.22, 4 Cd 3.10-3.14
Zr 0.8954 0.7909 0.9479  5 Ag 2.96-3.03, 3 Zr 3.00-3.22, 4 Cd 3.10-3.14
Ag 0.1039 0.2079 0.5524  4 Cd 2.95-2.96, 8 Ag 2.95-3.20
Ag 0.7013 0.4026 0.3559  9 Ag 2.91-3.00, 2 Zr 3.00, 1 Cd 3.12
Ag 0.2987 0.5974 0.6441  9 Ag 2.91-3.00, 2 Zr 3.00, 1 Cd 3.12
Ag 0.2968 0.5936 0.1541  8 Ag 2.95-3.01, 3 Zr 2.96-3.03, 1 Cd 3.11
Ag 0.7032 0.4064 0.8459  8 Ag 2.95-3.01, 3 Zr 2.96-3.03, 1 Cd 3.11
Ag 0.8961 0.7921 0.4476  4 Cd 2.95-2.96, 8 Ag 2.95-3.20

Density functional theory data (PBE) for a relaxed structure of Zr6Cd5Ag.

Properties
- Energy of formation: -0.09 eV per atom
- DOS at the Fermi energy: 12.36 states/eV/f.u.

Unit cell a=4.3785 b=8.2351 c=8.2351 alpha=105.88 beta=105.42 gamma=105.42
Last column: nearest neighbours and their distance in Å.
Element x y z (fractional)
Zr 0.2482 0.0822 0.4141  4 Zr 3.09-3.11, 1 Ag 3.11, 7 Cd 3.11-3.14
Zr 0.2482 0.4141 0.0822  4 Zr 3.09-3.11, 1 Ag 3.11, 7 Cd 3.11-3.14
Zr 0.7458 0.2458 0.2458  4 Zr 3.09, 2 Ag 3.10, 6 Cd 3.10-3.15
Zr 0.7518 0.9178 0.5859  4 Zr 3.09-3.11, 1 Ag 3.11, 7 Cd 3.11-3.14
Zr 0.2542 0.7542 0.7542  4 Zr 3.09, 2 Ag 3.10, 6 Cd 3.10-3.15
Zr 0.7518 0.5859 0.9178  4 Zr 3.09-3.11, 1 Ag 3.11, 7 Cd 3.11-3.14
Cd 0.0000 0.3352 0.6648  4 Cd 3.08-3.11, 8 Zr 3.13-3.14
Cd 0.5000 0.8332 0.1668  2 Ag 3.10, 8 Zr 3.10-3.14, 2 Cd 3.11
Cd 0.0000 0.6648 0.3352  4 Cd 3.08-3.11, 8 Zr 3.13-3.14
Cd 0.5000 0.5000 0.5000  4 Cd 3.08, 8 Zr 3.13-3.15
Cd 0.5000 0.1668 0.8332  2 Ag 3.10, 8 Zr 3.10-3.14, 2 Cd 3.11
Ag 0.0000 0.0000 0.0000  8 Zr 3.10-3.11, 4 Cd 3.10

Density functional theory data (PBE) for a relaxed structure of ZrCd2Ag2.

Properties
- Energy of formation: -0.02 eV per atom
- DOS at the Fermi energy: 2.49 states/eV/f.u.

Unit cell a=3.0349 b=3.3686 c=10.3525 alpha=99.46 beta=90.00 gamma=90.00
Last column: nearest neighbours and their distance in Å.
Element x y z (fractional)
Cd 0.0000 0.8101 0.6204  4 Ag 2.95, 4 Cd 2.98-3.03
Cd 0.0000 0.1899 0.3796  4 Ag 2.95, 4 Cd 2.98-3.03
Zr 0.0000 0.0000 0.0000  8 Ag 3.01-3.02, 4 Zr 3.03-3.37
Ag 0.5000 0.4025 0.8052  4 Cd 2.95, 4 Zr 3.01-3.02, 2 Ag 3.03
Ag 0.5000 0.5975 0.1948  4 Cd 2.95, 4 Zr 3.01-3.02, 2 Ag 3.03

Density functional theory data (PBE) for a relaxed structure of Zr2Cd2Ag.

Properties
- Energy of formation: 0.03 eV per atom
- DOS at the Fermi energy: 5.20 states/eV/f.u.

Unit cell a=5.9009 b=5.9012 c=4.8587 alpha=90.00 beta=114.30 gamma=48.61
Last column: nearest neighbours and their distance in Å.
Element x y z (fractional)
Cd 0.3825 0.1912 0.1912  3 Cd 2.91, 1 Ag 2.98, 4 Zr 3.04-3.25
Cd 0.6175 0.8088 0.8088  3 Cd 2.91, 1 Ag 2.98, 4 Zr 3.04-3.25
Zr 0.2006 0.6002 0.6003  3 Ag 2.99, 4 Cd 3.04-3.25, 1 Zr 3.12
Zr 0.7994 0.3998 0.3997  3 Ag 2.99, 4 Cd 3.04-3.25, 1 Zr 3.12
Ag 0.0000 0.0000 0.0000  2 Cd 2.98, 6 Zr 2.99

Density functional theory data (PBE) for a relaxed structure of ZrCd2Ag.

Properties
- Energy of formation: 0.03 eV per atom
- DOS at the Fermi energy: 3.87 states/eV/f.u.

Unit cell a=5.6573 b=5.6573 c=2.8641 alpha=90.00 beta=90.00 gamma=112.98
Last column: nearest neighbours and their distance in Å.
Element x y z (fractional)
Cd 0.5000 0.5000 0.0000  4 Cd 2.86-3.12, 4 Ag 3.17, 4 Zr 3.17
Cd 0.0000 0.0000 0.0000  4 Cd 2.86-3.12, 4 Zr 3.17, 4 Ag 3.17
Zr 0.5000 0.0000 0.5000  2 Zr 2.86, 2 Ag 3.12, 8 Cd 3.17
Ag 0.0000 0.5000 0.5000  2 Ag 2.86, 2 Zr 3.12, 8 Cd 3.17

Density functional theory data (PBE) for a relaxed structure of ZrCd2Ag.

Properties
- Energy of formation: 0.27 eV per atom
- DOS at the Fermi energy: 3.78 states/eV/f.u.

Unit cell a=7.8409 b=7.8409 c=6.2842 alpha=51.40 beta=51.40 gamma=90.00
Last column: nearest neighbours and their distance in Å.
Element x y z (fractional)
Ag 0.0000 0.0000 0.0000  4 Cd 2.76, 2 Zr 2.96
Ag 0.7500 0.2500 0.5000  4 Cd 2.76, 2 Zr 2.96
Cd 0.1037 0.6250 0.2500  2 Ag 2.76, 2 Cd 2.98, 2 Zr 2.99
Cd 0.8750 0.8963 0.7500  2 Ag 2.76, 2 Cd 2.98, 2 Zr 2.99
Cd 0.3750 0.3537 0.7500  2 Ag 2.76, 2 Cd 2.98, 2 Zr 2.99
Cd 0.6463 0.1250 0.2500  2 Ag 2.76, 2 Cd 2.98, 2 Zr 2.99
Zr 0.5000 0.5000 0.0000  2 Ag 2.96, 4 Cd 2.99
Zr 0.2500 0.7500 0.5000  2 Ag 2.96, 4 Cd 2.99

Density functional theory data (PBE) for a relaxed structure of Zr4CdAg.

Properties
- Energy of formation: 0.30 eV per atom
- DOS at the Fermi energy: 4.71 states/eV/f.u.

Unit cell a=5.7616 b=5.7616 c=5.7616 alpha=60.00 beta=60.00 gamma=60.00
Last column: nearest neighbours and their distance in Å.
Element x y z (fractional)
Cd 0.0000 0.0000 0.0000  12 Zr 3.38, 4 Ag 3.53
Zr 0.3748 0.8755 0.3748  6 Zr 2.88
Zr 0.8755 0.3748 0.3748  6 Zr 2.88
Zr 0.3748 0.3748 0.3748  6 Zr 2.88
Zr 0.3748 0.3748 0.8755  6 Zr 2.88
Ag 0.7500 0.7500 0.7500  12 Zr 3.38, 4 Cd 3.53